Entry 1:
# LaZnOs2 | Alexandria via LeMat-Bulk | GGA-PBE | optimized geometry
data_LaZnOs2
_symmetry_space_group_name_H-M 'P 1'
_symmetry_Int_Tables_number 1
_cell_length_a 5.0262
_cell_length_b 5.0262
_cell_length_c 5.0262
_cell_angle_alpha 130.17
_cell_angle_beta 130.17
_cell_angle_gamma 73.14
loop_
_symmetry_equiv_pos_as_xyz
'x,y,z'
loop_
_atom_site_label
_atom_site_fract_x
_atom_site_fract_y
_atom_site_fract_z
La1 0.7500 0.2500 0.5000
Os1 0.0000 0.0000 0.0000
Os2 0.5000 0.5000 0.0000
Zn1 0.2500 0.7500 0.5000
# space group = No. 139
# total energy = -26.26 eV for the cell shown

---

Entry 2:
# CrMo2Rh | Alexandria via LeMat-Bulk | GGA-PBE | optimized geometry
data_CrMo2Rh
_symmetry_space_group_name_H-M 'P 1'
_symmetry_Int_Tables_number 1
_cell_length_a 5.0210
_cell_length_b 5.0210
_cell_length_c 5.0210
_cell_angle_alpha 143.32
_cell_angle_beta 128.71
_cell_angle_gamma 64.70
loop_
_symmetry_equiv_pos_as_xyz
'x,y,z'
loop_
_atom_site_label
_atom_site_fract_x
_atom_site_fract_y
_atom_site_fract_z
Cr1 0.2341 0.7341 0.5000
Mo1 0.0114 0.0114 0.0000
Mo2 0.7611 0.2611 0.5000
Rh1 0.4934 0.4934 0.0000
# distance to the lowest polymorph of the same formula = 45 meV per atom
# space group = No. 44

---

Entry 3:
# Dy8HC3N3 | Alexandria via LeMat-Bulk | GGA-PBE | optimized geometry
data_Dy8HC3N3
_symmetry_space_group_name_H-M 'P 1'
_symmetry_Int_Tables_number 1
_cell_length_a 7.0536
_cell_length_b 7.0535
_cell_length_c 7.0636
_cell_angle_alpha 119.95
_cell_angle_beta 90.00
_cell_angle_gamma 120.00
loop_
_symmetry_equiv_pos_as_xyz
'x,y,z'
loop_
_atom_site_label
_atom_site_fract_x
_atom_site_fract_y
_atom_site_fract_z
Dy1 0.2520 0.5041 0.2561
Dy2 0.7480 0.4959 0.7439
Dy3 0.7467 0.4933 0.2463
Dy4 0.2533 0.5067 0.7537
Dy5 0.7466 0.9996 0.2463
Dy6 0.2534 0.0004 0.7537
Dy7 0.2530 0.9996 0.2462
Dy8 0.7470 0.0004 0.7538
H1 0.0000 0.0000 0.5000
C1 0.0000 0.0000 0.0000
C2 0.0000 0.5000 0.0000
C3 0.5000 0.5000 0.0000
N1 0.5000 0.0000 0.5000
N2 0.5000 0.5000 0.5000
N3 0.0000 0.5000 0.5000
# space group = No. 166
# total energy = -104.48 eV for the cell shown

---

Entry 4:
# TbMg2Pb5 | Alexandria via LeMat-Bulk | GGA-PBE | optimized geometry
data_TbMg2Pb5
_symmetry_space_group_name_H-M 'P 1'
_symmetry_Int_Tables_number 1
_cell_length_a 5.5795
_cell_length_b 6.5574
_cell_length_c 12.3996
_cell_angle_alpha 90.00
_cell_angle_beta 90.00
_cell_angle_gamma 90.00
loop_
_symmetry_equiv_pos_as_xyz
'x,y,z'
loop_
_atom_site_label
_atom_site_fract_x
_atom_site_fract_y
_atom_site_fract_z
Tb1 0.0000 0.0000 0.5000
Tb2 0.0000 0.5000 0.0000
Mg1 0.5000 0.3275 0.3898
Mg2 0.5000 0.6725 0.6102
Mg3 0.5000 0.1725 0.8898
Mg4 0.5000 0.8275 0.1102
Pb1 0.5000 0.3367 0.1289
Pb2 0.5000 0.6633 0.8711
Pb3 0.5000 0.8367 0.3711
Pb4 0.5000 0.1633 0.6289
Pb5 0.0000 0.7923 0.7421
Pb6 0.0000 0.2077 0.2579
Pb7 0.0000 0.2923 0.7579
Pb8 0.0000 0.7077 0.2421
Pb9 0.0000 0.5000 0.5000
Pb10 0.0000 0.0000 0.0000
# distance to the lowest polymorph of the same formula = 0 meV per atom
# space group = No. 55

---

Entry 5:
# La2MgGa2Rh5 | Alexandria via LeMat-Bulk | GGA-PBE | optimized geometry
data_La2MgGa2Rh5
_symmetry_space_group_name_H-M 'P 1'
_symmetry_Int_Tables_number 1
_cell_length_a 3.5696
_cell_length_b 10.1379
_cell_length_c 10.1379
_cell_angle_alpha 90.00
_cell_angle_beta 90.00
_cell_angle_gamma 90.00
loop_
_symmetry_equiv_pos_as_xyz
'x,y,z'
loop_
_atom_site_label
_atom_site_fract_x
_atom_site_fract_y
_atom_site_fract_z
La1 0.0000 0.6757 0.1757
La2 0.0000 0.3243 0.8243
La3 0.0000 0.1757 0.3243
La4 0.0000 0.8243 0.6757
Mg1 0.0000 0.0000 0.0000
Mg2 0.0000 0.5000 0.5000
Ga1 0.0000 0.1225 0.6225
Ga2 0.0000 0.8775 0.3775
Ga3 0.0000 0.6225 0.8775
Ga4 0.0000 0.3775 0.1225
Rh1 0.5000 0.2097 0.0672
Rh2 0.5000 0.7903 0.9328
Rh3 0.5000 0.0672 0.7903
Rh4 0.5000 0.7097 0.4328
Rh5 0.5000 0.9328 0.2097
Rh6 0.5000 0.2903 0.5672
Rh7 0.5000 0.5672 0.7097
Rh8 0.5000 0.4328 0.2903
Rh9 0.5000 0.5000 0.0000
Rh10 0.5000 0.0000 0.5000
# space group = No. 127
# total energy = -122.13 eV for the cell shown

---

Entry 6:
# CaMoN3 | Alexandria via LeMat-Bulk | GGA-PBE | optimized geometry
data_CaMoN3
_symmetry_space_group_name_H-M 'P 1'
_symmetry_Int_Tables_number 1
_cell_length_a 3.6495
_cell_length_b 6.4529
_cell_length_c 7.1231
_cell_angle_alpha 76.30
_cell_angle_beta 60.59
_cell_angle_gamma 83.68
loop_
_symmetry_equiv_pos_as_xyz
'x,y,z'
loop_
_atom_site_label
_atom_site_fract_x
_atom_site_fract_y
_atom_site_fract_z
Ca1 0.3725 0.7380 0.2006
Ca2 0.6889 0.2658 0.7784
Mo1 0.7008 0.1528 0.2771
Mo2 0.3607 0.8510 0.7019
N1 0.3187 0.1180 0.1732
N2 0.1669 0.5656 0.9121
N3 0.8944 0.4381 0.0669
N4 0.4033 0.1952 0.5670
N5 0.6581 0.8086 0.4120
N6 0.7427 0.8857 0.8058
# formation energy without anion corrections = -544 meV per atom
# space group = No. 2

---

- Which formula does entry 4 have?
  TbMg2Pb5